KSbP | PBE-GGA | optimized geometry

The structure in POSCAR format:
```
KSbP
1.0
5.1308 0.0000 0.0000
2.5654 4.4434 0.0000
2.5654 1.4811 4.1893
K P Sb
1 1 1
Direct
0.0000 0.0000 0.0000 K
0.5000 0.5000 0.5000 P
0.7500 0.7500 0.7500 Sb
```

Calculated values
Spin magnetization, μB per atom: 0.000
Space group: F-43m, No. 216
DFT total energy, eV per atom: -3.1859
Polymorph energy (0 for the lowest one), meV per atom: 632
E_form (uncorrected), eV per atom: 0.357